# LiTe2Ir | Alexandria via LeMat-Bulk | PBE-GGA | relaxed
# E_form (uncorrected) = 0.193 eV per atom
# M_tot = 0.0000 μB per atom
data_LiTe2Ir
_symmetry_space_group_name_H-M 'R -3 m'
_symmetry_Int_Tables_number 166
_symmetry_space_group_name_Hall '-R 3 2"'
_cell_length_a 3.2594
_cell_length_b 3.2594
_cell_length_c 27.7594
_cell_angle_alpha 90.00
_cell_angle_beta 90.00
_cell_angle_gamma 120.00
loop_
_atom_site_label
_atom_site_type_symbol
_atom_site_fract_x
_atom_site_fract_y
_atom_site_fract_z
Li1 Li 0.0000 0.0000 0.0000
Te1 Te 0.0000 0.0000 0.4086
Ir1 Ir 0.0000 0.0000 0.5000